VASP calculation (PBE-GGA) on a relaxed structure of TcH2Ir2.

Cell: 2.8062 2.8062 12.7130 Å, 90.00 90.00 90.00°
Closest atoms and distances in Å follow each position.
Element x y z (fractional)
Tc: 0.0000 0.0000 0.0000  8 Ir 2.71, 4 Tc 2.81
Tc: 0.5000 0.5000 0.5000  8 Ir 2.71, 4 Tc 2.81
H: 0.0000 0.5000 0.2500  4 Ir 1.93, 4 H 1.98
H: 0.0000 0.5000 0.7500  4 Ir 1.93, 4 H 1.98
H: 0.5000 0.0000 0.2500  4 Ir 1.93, 4 H 1.98
H: 0.5000 0.0000 0.7500  4 Ir 1.93, 4 H 1.98
Ir: 0.0000 0.0000 0.3547  4 H 1.93
Ir: 0.0000 0.0000 0.6453  4 H 1.93
Ir: 0.5000 0.5000 0.1453  4 H 1.93
Ir: 0.5000 0.5000 0.8547  4 H 1.93

Output
ΔE to the lowest computed polymorph (meV per atom): 0
Crystal system: tetragonal

---

VASP calculation (PBE-GGA) on a relaxed structure of Lu3HfH.

Cell: 4.7502 4.7502 4.7502 Å, 90.00 90.00 90.00°
Closest atoms and distances in Å follow each position.
Element x y z (fractional)
Lu: 0.0000 0.0000 0.5000  2 H 2.38
Lu: 0.0000 0.5000 0.0000  2 H 2.38
Lu: 0.5000 0.0000 0.0000  2 H 2.38
Hf: 0.5000 0.5000 0.5000  12 Lu 3.36
H: 0.0000 0.0000 0.0000  6 Lu 2.38

Output
Crystal system: cubic

---

VASP calculation (PBE-GGA) on a relaxed structure of CdIn4Hg7.

Cell: 4.9943 4.9943 14.7767 Å, 90.00 90.00 120.00°
Closest atoms and distances in Å follow each position.
Element x y z (fractional)
Cd: 0.0000 0.0000 0.0000  6 Hg 3.09
In: 0.3333 0.6667 0.1624  6 Hg 3.12-3.16
In: 0.3333 0.6667 0.4127  6 Hg 3.13-3.16
In: 0.6667 0.3333 0.5873  6 Hg 3.13-3.16
In: 0.6667 0.3333 0.8376  6 Hg 3.12-3.16
Hg: 0.0000 0.0000 0.2438  3 In 3.12, 3 Hg 3.15
Hg: 0.0000 0.0000 0.5000  6 In 3.16
Hg: 0.0000 0.0000 0.7562  3 In 3.12, 3 Hg 3.15
Hg: 0.3333 0.6667 0.6696  3 In 3.13, 3 Hg 3.15
Hg: 0.3333 0.6667 0.9247  3 Cd 3.09, 3 In 3.16
Hg: 0.6667 0.3333 0.0753  3 Cd 3.09, 3 In 3.16
Hg: 0.6667 0.3333 0.3304  3 In 3.13, 3 Hg 3.15

Output
Crystal system: trigonal
Formation enthalpy at 0 K (eV per atom): 0.009

---

VASP calculation (PBE-GGA) on a relaxed structure of TlCd2Cu.

Cell: 3.0361 5.0700 11.3978 Å, 90.00 90.00 90.00°
Closest atoms and distances in Å follow each position.
Element x y z (fractional)
Tl: 0.0000 0.0000 0.0000  4 Cu 2.95, 2 Tl 3.04
Tl: 0.5000 0.5000 0.5000  4 Cu 2.95, 2 Tl 3.04
Cd: 0.0000 0.5000 0.2040  2 Cu 2.78, 2 Cd 3.04
Cd: 0.0000 0.5000 0.7960  2 Cu 2.78, 2 Cd 3.04
Cd: 0.5000 0.0000 0.2960  2 Cu 2.78, 2 Cd 3.04
Cd: 0.5000 0.0000 0.7040  2 Cu 2.78, 2 Cd 3.04
Cu: 0.0000 0.0000 0.5000  4 Cd 2.78, 4 Tl 2.95, 2 Cu 3.04
Cu: 0.5000 0.5000 0.0000  4 Cd 2.78, 4 Tl 2.95, 2 Cu 3.04

Output
ΔE to the lowest computed polymorph (meV per atom): 28
Crystal system: orthorhombic
Formation enthalpy at 0 K (eV per atom): 0.114

---

VASP calculation (PBE-GGA) on a relaxed structure of TeBrN2F.

Cell: 4.3054 4.3054 4.3666 Å, 90.00 90.00 90.00°
Closest atoms and distances in Å follow each position.
Element x y z (fractional)
Te: 0.0000 0.0000 0.0000  4 N 2.15, 2 F 2.18
Br: 0.5000 0.5000 0.5000  4 F 3.04, 8 N 3.07
N: 0.0000 0.5000 0.0000  2 Te 2.15
N: 0.5000 0.0000 0.0000  2 Te 2.15
F: 0.0000 0.0000 0.5000  2 Te 2.18

Output
ΔE to the lowest computed polymorph (meV per atom): 0
Crystal system: tetragonal
Formation energy (no corrections) (eV/atom): 1.05

---

VASP calculation (PBE-GGA) on a relaxed structure of CdBMo2Os.

Cell: 4.7406 4.7406 5.1602 Å, 90.00 90.00 90.00°
Closest atoms and distances in Å follow each position.
Element x y z (fractional)
Cd: 0.0000 0.0000 0.0000  2 Os 2.58
B: 0.5000 0.5000 0.0000  4 Cd 3.35, 8 Mo 3.50
Mo: 0.0000 0.5000 0.5000  2 Os 2.37
Mo: 0.5000 0.0000 0.5000  2 Os 2.37
Os: 0.0000 0.0000 0.5000  4 Mo 2.37, 2 Cd 2.58

Output
Crystal system: tetragonal
Formation enthalpy at 0 K (eV per atom): 2.272

---

Across the entries above, uncorrected energy takes the values -68.5 -27.2 -13.9 -15.7 -18.1 -29.1 eV for the cell shown, respectively.
Across the entries above, spin magnetization takes the values 0.000 0.000 0.000 0.000 0.643 0.526 μB per atom, respectively.